Entry 1:
The following is a DFT calculation (PBE-GGA) of a geometry-optimized Ho2ErMg9 structure.

Unit cell a=10.2627 b=10.2627 c=10.2627 alpha=34.13 beta=34.13 gamma=34.13
Positions (direct):
Ho 0.1431 0.1431 0.1431
Ho 0.8569 0.8569 0.8569
Er 0.0000 0.0000 0.0000
Mg 0.0790 0.5868 0.5868
Mg 0.3341 0.3341 0.3341
Mg 0.4132 0.4132 0.9210
Mg 0.4132 0.9210 0.4132
Mg 0.5000 0.5000 0.5000
Mg 0.5868 0.0790 0.5868
Mg 0.5868 0.5868 0.0790
Mg 0.6659 0.6659 0.6659
Mg 0.9210 0.4132 0.4132

Summary:
M_tot in μB per formula unit: 0.0
DFT formation energy in eV/atom: -0.0164



Entry 2:
The following is a DFT calculation (PBE-GGA) of a geometry-optimized HoEr2Mg7 structure.

Unit cell a=11.5516 b=11.5516 c=3.3410 alpha=90.00 beta=90.00 gamma=141.95
Positions (direct):
Ho 0.0000 0.0000 0.0000
Er 0.2600 0.7400 0.5000
Er 0.7400 0.2600 0.5000
Mg 0.0665 0.3117 0.5000
Mg 0.3117 0.0665 0.5000
Mg 0.3879 0.6121 0.0000
Mg 0.5000 0.5000 0.5000
Mg 0.6121 0.3879 0.0000
Mg 0.6883 0.9335 0.5000
Mg 0.9335 0.6883 0.5000

Summary:
M_tot in μB per formula unit: 0.6
DFT formation energy in eV/atom: 0.2318



Entry 3:
The following is a DFT calculation (PBE-GGA) of a geometry-optimized Ho3Er3Mg2 structure.

Unit cell a=6.3447 b=6.3447 c=15.5806 alpha=90.00 beta=90.00 gamma=131.11
Positions (direct):
Ho 0.0455 0.9545 0.6013
Ho 0.0455 0.9545 0.8987
Ho 0.2477 0.7523 0.7500
Ho 0.7523 0.2477 0.2500
Ho 0.9545 0.0455 0.1013
Ho 0.9545 0.0455 0.3987
Er 0.3542 0.6458 0.5338
Er 0.3542 0.6458 0.9662
Er 0.4721 0.5279 0.2500
Er 0.5279 0.4721 0.7500
Er 0.6458 0.3542 0.0338
Er 0.6458 0.3542 0.4662
Mg 0.2221 0.7779 0.1462
Mg 0.2221 0.7779 0.3538
Mg 0.7779 0.2221 0.6462
Mg 0.7779 0.2221 0.8538

Summary:
M_tot in μB per formula unit: 0.0
DFT formation energy in eV/atom: 0.0841



Entry 4:
The following is a DFT calculation (PBE-GGA) of a geometry-optimized Ho5Er6Mg structure.

Unit cell a=7.8109 b=7.8109 c=6.0569 alpha=97.26 beta=97.26 gamma=84.22
Positions (direct):
Ho 0.0000 0.0000 0.0000
Ho 0.1653 0.8347 0.5000
Ho 0.3337 0.6663 0.0000
Ho 0.6663 0.3337 0.0000
Ho 0.8347 0.1653 0.5000
Er 0.0833 0.4169 0.2466
Er 0.2494 0.2494 0.7496
Er 0.4169 0.0833 0.2466
Er 0.5831 0.9167 0.7534
Er 0.7506 0.7506 0.2504
Er 0.9167 0.5831 0.7534
Mg 0.5000 0.5000 0.5000

Summary:
M_tot in μB per formula unit: 0.0
DFT formation energy in eV/atom: 0.0269